! PBE-GGA HoTm2Co2B2N3, relaxed; values from VASP
! **E**: -0.289 hartree per atom
! **Magnetization**: 0.011 μB per formula unit
&SYSTEM
  ibrav = 0, nat = 10, ntyp = 5
/
ATOMIC_SPECIES
Tm 168.93 Tm.upf
B 10.81 B.upf
N 14.01 N.upf
Ho 164.93 Ho.upf
Co 58.93 Co.upf
CELL_PARAMETERS angstrom
5.221 -7.903 -3.748
7.255 -7.127 0.576
-7.818 5.989 2.603
ATOMIC_POSITIONS angstrom
Tm 7.775 -9.366 -1.977
Tm 4.701 -5.664 -1.195
B 2.407 -2.899 -0.612
B 10.069 -12.131 -2.560
N 6.238 -7.515 -1.586
N 11.017 -13.273 -2.801
N 1.459 -1.757 -0.371
Ho 0.000 0.000 0.000
Co 1.821 -4.714 -1.365
Co 2.838 -4.327 0.796